A plane-wave DFT calculation with SCAN was carried out for LiZnPCl2 at its PBEsol-relaxed geometry. Values from VASP.

Results
N(E_F) (states/eV/atom): 0.506
Spin magnetization (μB/f.u.): 1.92
DFT total energy (Ry per atom): -0.621
Crystal system: tetragonal

```
&SYSTEM
  ibrav = 0, nat = 5, ntyp = 4
/
ATOMIC_SPECIES
Cl 35.45 Cl.upf
Li 6.94 Li.upf
Zn 65.41 Zn.upf
P 30.97 P.upf
CELL_PARAMETERS angstrom
4.369 0.000 0.000
0.000 4.369 0.000
0.000 0.000 4.892
ATOMIC_POSITIONS crystal
Cl 0.000 0.500 0.000
Cl 0.500 0.000 0.000
Li 0.000 0.000 0.000
Zn 0.500 0.500 0.500
P 0.000 0.000 0.500
```